Entry 1:
The following is a DFT calculation (GGA-PBE) of crystalline CaOs3 at its relaxed geometry.

Lattice parameters (Å, degrees): 4.8107 4.8107 4.8107 129.36 129.36 74.43
Last column: nearest neighbours and their distance in Å.
Positions (direct):
Os 0.2500 0.7500 0.5000  8 Os 2.81-2.91, 4 Ca 2.81
Os 0.5000 0.5000 0.0000  8 Os 2.81, 4 Ca 2.91
Os 0.7500 0.2500 0.5000  4 Ca 2.81, 8 Os 2.81-2.91
Ca 0.0000 0.0000 0.0000  12 Os 2.81-2.91

Results
Density of states at the Fermi level: 1.91 states/eV per atom
Space group: No. 139
DFT formation energy: 0.839 eV per atom
Calculated density: 15.64 g/cm³

=====

Entry 2:
The following is a DFT calculation (GGA-PBE) of crystalline CaOs at its relaxed geometry.

Lattice parameters (Å, degrees): 4.0722 4.0722 24.6744 90.00 90.00 120.00
Last column: nearest neighbours and their distance in Å.
Positions (direct):
Os 0.3333 0.6667 0.5894  3 Os 2.40
Os 0.0000 0.0000 0.5692  3 Os 2.40
Os 0.0000 0.0000 0.9228  3 Os 2.40
Os 0.3333 0.6667 0.2359  3 Os 2.40
Os 0.6667 0.3333 0.2561  3 Os 2.40
Os 0.6667 0.3333 0.9025  3 Os 2.40
Ca 0.6667 0.3333 0.6667  6 Os 3.03-3.36
Ca 0.6667 0.3333 0.1417  1 Os 2.82
Ca 0.0000 0.0000 0.8084  1 Os 2.82
Ca 0.0000 0.0000 0.3334  6 Os 3.03-3.36
Ca 0.3333 0.6667 0.4750  1 Os 2.82
Ca 0.3333 0.6667 0.0000  6 Os 3.03-3.36

Results
Density of states at the Fermi level: 0.81 states/eV per atom
Space group: No. 160
DFT formation energy: 0.220 eV per atom
Calculated density: 6.48 g/cm³

=====

Entry 3:
The following is a DFT calculation (GGA-PBE) of crystalline CaOs at its relaxed geometry.

Lattice parameters (Å, degrees): 3.0578 3.0578 9.4529 90.00 90.00 90.00
Last column: nearest neighbours and their distance in Å.
Positions (direct):
Os 0.0000 0.5000 0.0761  4 Os 2.60
Os 0.5000 0.0000 0.9239  4 Os 2.60
Ca 0.5000 0.0000 0.3100  4 Ca 3.06, 4 Os 3.09
Ca 0.0000 0.5000 0.6900  4 Ca 3.06, 4 Os 3.09

Results
Density of states at the Fermi level: 0.82 states/eV per atom
Space group: No. 129
DFT formation energy: 0.320 eV per atom
Calculated density: 8.65 g/cm³

=====

Entry 4:
The following is a DFT calculation (GGA-PBE) of crystalline CaOs at its relaxed geometry.

Lattice parameters (Å, degrees): 3.0396 3.0396 10.2969 90.00 90.00 120.00
Last column: nearest neighbours and their distance in Å.
Positions (direct):
Os 0.6667 0.3333 0.7204  3 Os 2.63
Os 0.0000 0.0000 0.5296  3 Os 2.63
Ca 0.0000 0.0000 0.9569  3 Os 3.00, 6 Ca 3.04
Ca 0.6667 0.3333 0.2931  3 Os 3.00, 6 Ca 3.04

Results
Density of states at the Fermi level: 1.33 states/eV per atom
Space group: No. 164
DFT formation energy: 0.801 eV per atom
Calculated density: 9.28 g/cm³

=====

Entry 5:
The following is a DFT calculation (GGA-PBE) of crystalline CaOs at its relaxed geometry.

Lattice parameters (Å, degrees): 10.6101 10.6101 4.1798 90.00 90.00 90.00
Last column: nearest neighbours and their distance in Å.
Positions (direct):
Os 0.7863 0.7863 0.0000  2 Os 2.36
Os 0.2863 0.2863 0.5000  2 Os 2.36
Os 0.2137 0.7863 0.0000  2 Os 2.36
Os 0.2137 0.2137 0.0000  2 Os 2.36
Os 0.2863 0.7137 0.5000  2 Os 2.36
Os 0.7137 0.2863 0.5000  2 Os 2.36
Os 0.7863 0.2137 0.0000  2 Os 2.36
Os 0.7137 0.7137 0.5000  2 Os 2.36
Ca 0.2778 0.0000 0.5000  6 Os 3.04-3.16
Ca 0.5000 0.7778 0.0000  6 Os 3.04-3.16
Ca 0.7222 0.0000 0.5000  6 Os 3.04-3.16
Ca 0.7778 0.5000 0.0000  6 Os 3.04-3.16
Ca 0.2222 0.5000 0.0000  6 Os 3.04-3.16
Ca 0.5000 0.2222 0.0000  6 Os 3.04-3.16
Ca 0.0000 0.7222 0.5000  6 Os 3.04-3.16
Ca 0.0000 0.2778 0.5000  6 Os 3.04-3.16

Results
Density of states at the Fermi level: 0.63 states/eV per atom
Space group: No. 139
DFT formation energy: 0.453 eV per atom
Calculated density: 6.50 g/cm³

=====

Entry 6:
The following is a DFT calculation (GGA-PBE) of crystalline CaOs at its relaxed geometry.

Lattice parameters (Å, degrees): 13.0028 4.1642 4.5458 90.00 90.00 90.00
Last column: nearest neighbours and their distance in Å.
Positions (direct):
Ca 0.8405 0.5000 0.5000  8 Os 2.92-3.12, 4 Ca 2.94-3.14
Ca 0.5000 0.5000 0.5000  4 Ca 2.94, 4 Os 3.08
Ca 0.0000 0.0000 0.5000  4 Ca 2.94, 4 Os 3.08
Ca 0.3405 0.0000 0.5000  8 Os 2.92-3.12, 4 Ca 2.94-3.14
Ca 0.6595 0.0000 0.5000  8 Os 2.92-3.12, 4 Ca 2.94-3.14
Ca 0.1595 0.5000 0.5000  8 Os 2.92-3.12, 4 Ca 2.94-3.14
Os 0.8010 0.0000 0.0000  2 Os 2.47
Os 0.0000 0.5000 0.0000  8 Ca 3.08, 4 Os 3.32
Os 0.3010 0.5000 0.0000  2 Os 2.47
Os 0.5000 0.0000 0.0000  8 Ca 3.08, 4 Os 3.32
Os 0.1990 0.0000 0.0000  2 Os 2.47
Os 0.6990 0.5000 0.0000  2 Os 2.47

Results
Density of states at the Fermi level: 1.05 states/eV per atom
Space group: No. 65
DFT formation energy: 0.690 eV per atom
Calculated density: 9.32 g/cm³

=====

Entry 7:
The following is a DFT calculation (GGA-PBE) of crystalline CaOs at its relaxed geometry.

Lattice parameters (Å, degrees): 9.0238 9.0238 9.0238 90.00 90.00 90.00
Last column: nearest neighbours and their distance in Å.
Positions (direct):
Os 0.5978 0.4022 0.5978  3 Os 2.50
Os 0.0978 0.0978 0.9022  3 Os 2.50
Os 0.9022 0.9022 0.9022  3 Os 2.50
Os 0.4022 0.5978 0.5978  3 Os 2.50
Os 0.0978 0.9022 0.0978  3 Os 2.50
Os 0.4022 0.4022 0.4022  3 Os 2.50
Os 0.9022 0.0978 0.0978  3 Os 2.50
Os 0.5978 0.5978 0.4022  3 Os 2.50
Ca 0.7033 0.7033 0.7033  4 Os 3.03-3.11
Ca 0.7033 0.2967 0.2967  4 Os 3.03-3.11
Ca 0.2033 0.7967 0.7967  4 Os 3.03-3.11
Ca 0.2967 0.7033 0.2967  4 Os 3.03-3.11
Ca 0.2033 0.2033 0.2033  4 Os 3.03-3.11
Ca 0.7967 0.2033 0.7967  4 Os 3.03-3.11
Ca 0.2967 0.2967 0.7033  4 Os 3.03-3.11
Ca 0.7967 0.7967 0.2033  4 Os 3.03-3.11

Results
Density of states at the Fermi level: 1.53 states/eV per atom
Space group: No. 217
DFT formation energy: 1.406 eV per atom
Calculated density: 4.16 g/cm³

=====

Entry 8:
The following is a DFT calculation (GGA-PBE) of crystalline Ca5Os at its relaxed geometry.

Lattice parameters (Å, degrees): 6.1629 6.1629 6.2252 90.00 90.00 120.00
Last column: nearest neighbours and their distance in Å.
Positions (direct):
Ca 0.3333 0.6667 0.0000  9 Ca 3.56-3.59, 3 Os 3.56
Ca 0.5000 0.5000 0.5000  4 Ca 3.08
Ca 0.6667 0.3333 0.0000  9 Ca 3.56-3.59, 3 Os 3.56
Ca 0.0000 0.5000 0.5000  4 Ca 3.08
Ca 0.5000 0.0000 0.5000  4 Ca 3.08
Os 0.0000 0.0000 0.0000  6 Ca 3.56

Results
Density of states at the Fermi level: 1.61 states/eV per atom
Space group: No. 191
DFT formation energy: 1.144 eV per atom
Calculated density: 3.17 g/cm³

=====

Entry 9:
The following is a DFT calculation (GGA-PBE) of crystalline CaOs at its relaxed geometry.

Lattice parameters (Å, degrees): 6.1051 6.1051 5.7662 90.00 90.00 90.00
Last column: nearest neighbours and their distance in Å.
Positions (direct):
Os 0.8674 0.8674 0.0000  1 Os 2.29
Os 0.3674 0.6326 0.5000  1 Os 2.29
Os 0.1326 0.1326 0.0000  1 Os 2.29
Os 0.6326 0.3674 0.5000  1 Os 2.29
Ca 0.6928 0.3072 0.0000  4 Os 2.89-2.93
Ca 0.1928 0.1928 0.5000  4 Os 2.89-2.93
Ca 0.8072 0.8072 0.5000  4 Os 2.89-2.93
Ca 0.3072 0.6928 0.0000  4 Os 2.89-2.93

Results
Density of states at the Fermi level: 1.79 states/eV per atom
Space group: No. 136
DFT formation energy: 1.186 eV per atom
Calculated density: 7.12 g/cm³

=====

Entry 10:
The following is a DFT calculation (GGA-PBE) of crystalline CaOs3 at its relaxed geometry.

Lattice parameters (Å, degrees): 4.6988 4.6988 2.9181 90.00 90.00 90.00
Last column: nearest neighbours and their distance in Å.
Positions (direct):
Os 0.5000 0.5000 0.0000  10 Os 2.77-2.92
Os 0.5000 0.0000 0.5000  6 Os 2.77-2.92, 4 Ca 2.77
Os 0.0000 0.5000 0.5000  6 Os 2.77-2.92, 4 Ca 2.77
Ca 0.0000 0.0000 0.0000  8 Os 2.77, 2 Ca 2.92

Results
Density of states at the Fermi level: 1.11 states/eV per atom
Space group: No. 123
DFT formation energy: 0.766 eV per atom
Calculated density: 15.74 g/cm³

=====

The lowest calculated density belongs to which entry? Ca5Os

=====

The highest calculated density belongs to which entry? number 10

=====

The highest DFT formation energy belongs to which entry? number 7